The following is a GGA-PBE calculation of Pm4Pr2Te3N2 after structural relaxation, from Alexandria.

Unit cell a=13.6494 b=13.6494 c=13.6494 alpha=160.09 beta=160.09 gamma=28.30
Positions (direct):
Pm  0.0826  0.5826  0.5000
Pm  0.4174  0.9174  0.5000
Pm  0.5826  0.0826  0.5000
Pm  0.9174  0.4174  0.5000
Pr  0.1950  0.1950  0.0000
Pr  0.8050  0.8050  0.0000
Te  0.3237  0.3237  0.0000
Te  0.5000  0.5000  0.0000
Te  0.6763  0.6763  0.0000
N  0.1061  0.1061  0.0000
N  0.8939  0.8939  0.0000

Computed properties:
For the formation energy without anion corrections, the calculation gives -114.7 kJ/mol of atoms. The density of states at the Fermi level comes out at 0.580 states/eV/atom. The space group is I4/mmm.